A geometry-optimized Cd2SeCl structure. Source: the Alexandria database, functional PBE.

Cell: 7.3742 7.3742 7.3742 Å, 149.95 149.26 43.52°
Fractional coordinates of all 4 atoms:
1 Cd 0.9478 0.9478 0.0000
2 Cd 0.2320 0.7320 0.5000
3 Cl 0.5328 0.5328 0.0000
4 Se 0.7875 0.2875 0.5000

The energy above the most stable polymorph in this dataset comes out at 122.2 meV/atom. The calculation puts the energy at -2.18 eV/atom. Its total moment is 0.00 Bohr magnetons per cell. The formation energy without anion corrections is -0.39 eV per atom. As for the calculated volume: 25.6 Å³/atom.

=====

A geometry-optimized Ac4SiH2 structure. Source: the Alexandria database, functional PBE.

Cell: 8.2414 8.2414 8.2414 Å, 103.12 123.09 103.12°
Fractional coordinates of all 14 atoms:
1 Ac 0.1433 0.7453 0.2982
2 Ac 0.7018 0.8451 0.4471
3 Ac 0.1481 0.7547 0.8029
4 Ac 0.1971 0.3451 0.9518
5 Ac 0.6067 0.6549 0.8519
6 Ac 0.6019 0.1549 0.8567
7 Ac 0.5529 0.2547 0.3981
8 Ac 0.0482 0.2453 0.3933
9 Si 0.0000 0.0000 0.0000
10 Si 0.7500 0.5000 0.2500
11 H 0.8750 0.1844 0.5594
12 H 0.4406 0.3156 0.6250
13 H 0.3750 0.8156 0.6906
14 H 0.3094 0.6844 0.1250

The calculation puts the energy at -4.39 eV/atom. Its total moment is 0.00 Bohr magnetons per cell. As for the calculated volume: 29.5 Å³/atom.

=====

A geometry-optimized CsCdGeAu2 structure. Source: the Alexandria database, functional PBE.

Cell: 5.2968 5.2968 5.3373 Å, 90.00 90.00 90.00°
Fractional coordinates of all 5 atoms:
1 Cs 0.5000 0.5000 0.5000
2 Ge 0.0000 0.0000 0.0000
3 Au 0.0000 0.5000 0.0000
4 Au 0.5000 0.0000 0.0000
5 Cd 0.0000 0.0000 0.5000

The calculation puts the energy at -2.67 eV/atom. Its total moment is 0.00 Bohr magnetons per cell. The formation energy is -83 meV per atom. As for the calculated volume: 29.9 Å³/atom.

=====

A geometry-optimized AuS4O structure. Source: the Alexandria database, functional PBE.

Cell: 8.7950 8.2090 8.8056 Å, 55.94 67.45 112.06°
Last column: magnetic moment on the atom in μB.
Fractional coordinates of all 12 atoms:
1 Au 0.5000 0.5000 0.5000  0.01
2 Au 0.0000 0.0000 0.5000  0.00
3 S 0.1951 0.3069 0.8964  0.00
4 S 0.3036 0.2415 0.0685  0.00
5 S 0.8049 0.6931 0.1036  0.00
6 S 0.6964 0.7585 0.9315  0.00
7 S 0.3317 0.8202 0.6191  0.29
8 S 0.1514 0.5678 0.3544  0.00
9 S 0.6683 0.1798 0.3809  0.29
10 S 0.8486 0.4322 0.6456  0.00
11 O 0.7512 0.2200 0.9225  0.00
12 O 0.2488 0.7800 0.0775  0.00

The calculation puts the energy at -4.14 eV/atom. Its total moment is 1.02 Bohr magnetons per cell. The formation energy without anion corrections is -0.01 eV per atom. As for the calculated volume: 25.8 Å³/atom.

=====

A geometry-optimized Cs2MgVCd structure. Source: the Alexandria database, functional PBE.

Cell: 6.8326 5.4195 6.8326 Å, 90.00 90.00 90.00°
Last column: magnetic moment on the atom in μB.
Fractional coordinates of all 5 atoms:
1 Cs 0.0000 0.0000 0.5000  0.02
2 Cs 0.5000 0.0000 0.0000  0.02
3 Mg 0.0000 0.5000 0.0000  0.00
4 V 0.5000 0.5000 0.5000  3.21
5 Cd 0.0000 0.0000 0.0000  0.00

The calculation puts the energy at -1.72 eV/atom. Its total moment is 4.45 Bohr magnetons per cell. The formation energy is 952 meV per atom. As for the calculated volume: 50.6 Å³/atom.

=====

A geometry-optimized AcGe4 structure. Source: the Alexandria database, functional PBE.

Cell: 5.7483 5.7483 5.7483 Å, 90.00 90.00 90.00°
Fractional coordinates of all 5 atoms:
1 Ac 0.5000 0.5000 0.5000
2 Ge 0.0000 0.0000 0.0000
3 Ge 0.5000 0.0000 0.5000
4 Ge 0.0000 0.5000 0.5000
5 Ge 0.5000 0.5000 0.0000

The energy above the most stable polymorph in this dataset comes out at 1490.6 meV/atom. The calculation puts the energy at -3.28 eV/atom. Its total moment is 0.00 Bohr magnetons per cell. The formation energy is 1232 meV per atom. As for the calculated volume: 38.0 Å³/atom.

=====

A geometry-optimized Ga2BrO2 structure. Source: the Alexandria database, functional PBE.

Cell: 3.7036 3.7036 5.7968 Å, 71.37 71.37 90.00°
Fractional coordinates of all 5 atoms:
1 O 0.7500 0.2500 0.5000
2 O 0.2500 0.7500 0.5000
3 Ga 0.3355 0.3355 0.3289
4 Ga 0.6645 0.6645 0.6711
5 Br 0.0000 0.0000 0.0000

The energy above the most stable polymorph in this dataset comes out at 0.0 meV/atom. The calculation puts the energy at -4.54 eV/atom. Its total moment is 0.00 Bohr magnetons per cell. The formation energy without anion corrections is -1.01 eV per atom. As for the calculated volume: 14.2 Å³/atom.

=====

A geometry-optimized ZrTcMo2 structure. Source: the Alexandria database, functional PBE.

Cell: 8.6947 8.6947 8.6947 Å, 20.29 20.29 20.29°
Fractional coordinates of all 4 atoms:
1 Mo 0.9940 0.9940 0.9940
2 Mo 0.2503 0.2503 0.2503
3 Tc 0.5048 0.5048 0.5048
4 Zr 0.7508 0.7508 0.7508

The energy above the most stable polymorph in this dataset comes out at 365.0 meV/atom. The calculation puts the energy at -9.90 eV/atom. Its total moment is 0.00 Bohr magnetons per cell. The formation energy is 244 meV per atom. As for the calculated volume: 17.3 Å³/atom.

=====

A geometry-optimized La3Tb6Sc structure. Source: the Alexandria database, functional PBE.

Cell: 6.2148 10.6556 10.6556 Å, 109.46 90.00 90.00°
Fractional coordinates of all 20 atoms:
1 La 0.4709 0.8813 0.6990
2 La 0.9709 0.6990 0.8813
3 La 0.0546 0.3662 0.6338
4 La 0.5546 0.6338 0.3662
5 La 0.9709 0.1187 0.3010
6 La 0.4709 0.3010 0.1187
7 Tb 0.0108 0.6950 0.5779
8 Tb 0.5108 0.5779 0.6950
9 Tb 0.4464 0.5765 0.0131
10 Tb 0.9464 0.0131 0.5765
11 Tb 0.2872 0.9402 0.0598
12 Tb 0.5698 0.2633 0.7367
13 Tb 0.0698 0.7367 0.2633
14 Tb 0.7872 0.0598 0.9402
15 Tb 0.4464 0.9869 0.4235
16 Tb 0.9464 0.4235 0.9869
17 Tb 0.0108 0.4221 0.3050
18 Tb 0.5108 0.3050 0.4221
19 Sc 0.2175 0.1402 0.8598
20 Sc 0.7175 0.8598 0.1402

The energy above the most stable polymorph in this dataset comes out at 0.0 meV/atom. The calculation puts the energy at -4.71 eV/atom. Its total moment is 0.00 Bohr magnetons per cell. The formation energy is 180 meV per atom. As for the calculated volume: 33.3 Å³/atom.

=====

A geometry-optimized La3AuO structure. Source: the Alexandria database, functional PBE.

Cell: 7.7851 7.7851 7.7851 Å, 52.30 52.30 52.30°
Fractional coordinates of all 10 atoms:
1 Au 0.3470 0.3470 0.3470
2 Au 0.6530 0.6530 0.6530
3 O 0.1643 0.1643 0.1643
4 O 0.8357 0.8357 0.8357
5 La 0.4281 0.0610 0.7974
6 La 0.0610 0.7974 0.4281
7 La 0.2026 0.5719 0.9390
8 La 0.9390 0.2026 0.5719
9 La 0.5719 0.9390 0.2026
10 La 0.7974 0.4281 0.0610

The energy above the most stable polymorph in this dataset comes out at 126.3 meV/atom. The calculation puts the energy at -5.94 eV/atom. Its total moment is 0.00 Bohr magnetons per cell. The formation energy without anion corrections is -1.33 eV per atom. As for the calculated volume: 27.3 Å³/atom.

=====

A geometry-optimized TbPrSm2Th structure. Source: the Alexandria database, functional PBE.

Cell: 6.4998 8.6300 6.4184 Å, 98.87 90.00 90.00°
Fractional coordinates of all 10 atoms:
1 Tb 0.1702 0.5000 0.7500
2 Tb 0.8298 0.5000 0.2500
3 Pr 0.0000 0.0000 0.0000
4 Pr 0.0000 0.0000 0.5000
5 Sm 0.6856 0.6852 0.8001
6 Sm 0.6856 0.3148 0.6999
7 Sm 0.3144 0.6852 0.3001
8 Sm 0.3144 0.3148 0.1999
9 Th 0.5484 0.0000 0.2500
10 Th 0.4516 0.0000 0.7500

The calculation puts the energy at -4.94 eV/atom. Its total moment is 0.00 Bohr magnetons per cell. The formation energy is 313 meV per atom. As for the calculated volume: 35.6 Å³/atom.

=====

A geometry-optimized Pu structure. Source: the Alexandria database, functional PBE.

Cell: 6.0945 6.0945 5.1366 Å, 90.00 90.00 120.00°
Last column: magnetic moment on the atom in μB.
Fractional coordinates of all 8 atoms:
1 Pu 0.7359 0.6565 0.7500  4.07
2 Pu 0.3435 0.0793 0.7500  4.07
3 Pu 0.0793 0.7359 0.2500  4.07
4 Pu 0.6565 0.9207 0.2500  4.07
5 Pu 0.9207 0.2641 0.7500  4.07
6 Pu 0.6667 0.3333 0.2500  -3.48
7 Pu 0.2641 0.3435 0.2500  4.07
8 Pu 0.3333 0.6667 0.7500  -3.48

The energy above the most stable polymorph in this dataset comes out at 194.2 meV/atom. The calculation puts the energy at -14.14 eV/atom. Its total moment is 17.99 Bohr magnetons per cell. The formation energy is 194 meV per atom. As for the calculated volume: 20.7 Å³/atom.